Computed, not measured: a relaxed MoIrW2 crystal at the GGA-PBE level of DFT.

Unit cell a=2.7395 b=4.0197 c=5.7205 alpha=90.00 beta=90.00 gamma=90.00
Closest atoms and distances in Å follow each position.
Fractional coordinates of all 4 atoms:
1 Ir 0.5000 0.5000 0.2500  2 Ir 2.74, 8 W 2.80, 2 Mo 2.86
2 Mo 0.5000 0.5000 0.7500  2 Mo 2.74, 8 W 2.84, 2 Ir 2.86
3 W 0.0000 0.0000 0.0063  4 W 2.74-2.93, 4 Ir 2.80, 4 Mo 2.84
4 W 0.0000 0.0000 0.4937  4 W 2.74-2.93, 4 Ir 2.80, 4 Mo 2.84

Results
- symmetry = Pmmm, No. 47
- M_tot (μB per cell) = 0.00
- total DFT energy (no corrections) (eV per atom) = -11.33
- calculated formation energy (eV/f.u.) = 0.292
- volume (Å³ per cell) = 63
- D(E_F) (states/eV per cell) = 2.91

---

Computed, not measured: a relaxed MoIr2W crystal at the GGA-PBE level of DFT.

Unit cell a=3.3724 b=3.3724 c=5.4833 alpha=90.00 beta=90.00 gamma=90.00
Closest atoms and distances in Å follow each position.
Fractional coordinates of all 4 atoms:
1 Ir 0.0000 0.0000 0.9988  2 Ir 2.73-2.76, 4 W 2.75, 4 Mo 2.75
2 Ir 0.0000 0.0000 0.5012  2 Ir 2.73-2.76, 4 W 2.75, 4 Mo 2.75
3 Mo 0.5000 0.5000 0.2500  2 W 2.74, 8 Ir 2.75
4 W 0.5000 0.5000 0.7500  2 Mo 2.74, 8 Ir 2.75

Results
- symmetry = P4/mmm, No. 123
- M_tot (μB per cell) = 0.00
- total DFT energy (no corrections) (eV per atom) = -10.27
- calculated formation energy (eV/f.u.) = 0.409
- volume (Å³ per cell) = 62
- D(E_F) (states/eV per cell) = 5.26

---

Computed, not measured: a relaxed MoIrW4 crystal at the GGA-PBE level of DFT.

Unit cell a=5.1968 b=5.1968 c=5.1968 alpha=60.00 beta=60.00 gamma=60.00
Closest atoms and distances in Å follow each position.
Fractional coordinates of all 6 atoms:
1 Mo 0.0000 0.0000 0.0000  12 W 3.04, 4 Ir 3.18
2 Ir 0.2500 0.2500 0.2500  12 W 3.05, 4 Mo 3.18
3 W 0.6259 0.6259 0.1223  6 W 2.58-2.62
4 W 0.6259 0.1223 0.6259  6 W 2.58-2.62
5 W 0.6259 0.6259 0.6259  6 W 2.58-2.62
6 W 0.1223 0.6259 0.6259  6 W 2.58-2.62

Results
- symmetry = F-43m, No. 216
- M_tot (μB per cell) = 0.00
- total DFT energy (no corrections) (eV per atom) = -11.55
- calculated formation energy (eV/f.u.) = 2.195
- volume (Å³ per cell) = 99
- D(E_F) (states/eV per cell) = 4.67

---

Computed, not measured: a relaxed MoIrW2 crystal at the GGA-PBE level of DFT.

Unit cell a=3.2274 b=3.2274 c=6.0855 alpha=90.00 beta=90.00 gamma=90.00
Closest atoms and distances in Å follow each position.
Fractional coordinates of all 4 atoms:
1 Ir 0.0000 0.0000 0.4910  5 W 2.71-3.00, 4 Mo 2.81
2 Mo 0.5000 0.5000 0.7609  5 W 2.70-2.98, 4 Ir 2.81
3 W 0.0000 0.0000 0.9972  4 Mo 2.70, 4 W 2.76, 1 Ir 3.00
4 W 0.5000 0.5000 0.2509  4 Ir 2.71, 4 W 2.76, 1 Mo 2.98

Results
- symmetry = P4mm, No. 99
- M_tot (μB per cell) = 0.00
- total DFT energy (no corrections) (eV per atom) = -11.27
- calculated formation energy (eV/f.u.) = 0.531
- volume (Å³ per cell) = 63
- D(E_F) (states/eV per cell) = 5.19